DFT (PBE+U) results for crystalline PrCo4Cu3O12 at its relaxed geometry.

Unit cell a=6.3450 b=6.3450 c=6.3450 alpha=109.47 beta=109.47 gamma=109.47
Fractional coordinates of all 20 atoms:
Pr 0.0000 0.0000 0.0000
Co 0.0000 0.0000 0.5000
Co 0.0000 0.5000 0.0000
Co 0.5000 0.0000 0.0000
Co 0.5000 0.5000 0.5000
Cu 0.0000 0.5000 0.5000
Cu 0.5000 0.0000 0.5000
Cu 0.5000 0.5000 0.0000
O 0.1360 0.3090 0.8270
O 0.1730 0.4820 0.3090
O 0.1730 0.8640 0.6910
O 0.3090 0.1730 0.4820
O 0.3090 0.8270 0.1360
O 0.4820 0.3090 0.1730
O 0.5180 0.6910 0.8270
O 0.6910 0.1730 0.8640
O 0.6910 0.8270 0.5180
O 0.8270 0.1360 0.3090
O 0.8270 0.5180 0.6910
O 0.8640 0.6910 0.1730

DFT total energy, eV/cell: -118.718